[1]
Here is an optimized crystal structure of La3Dy2In from the Alexandria database. Energies are from GGA-PBE.

Unit cell a=6.853 b=7.070 c=9.115 alpha=71.27 beta=73.44 gamma=75.44
Space group P-1 (No. 2)
Symmetry-distinct sites (fractional):
La 0.095 0.181 0.154 x2
La 0.253 0.748 0.496 x2
La 0.382 0.954 0.832 x2
Dy 0.044 0.640 0.219 x2
Dy 0.418 0.460 0.847 x2
In 0.268 0.253 0.458 x2

- DOS(E_F): 14.430 states/eV/cell
- Energy of formation: -0.15 eV/atom
- Calculated volume: 395 Å³/cell

---

[2]
Here is an optimized crystal structure of LaZnIr from the Alexandria database. Energies are from GGA-PBE.

Unit cell a=5.440 b=4.742 c=10.495 alpha=90.00 beta=90.00 gamma=90.00
Space group Pnma (No. 62)
Symmetry-distinct sites (fractional):
La 0.127 0.250 0.129 x4
Zn 0.137 0.750 0.346 x4
Ir 0.120 0.250 0.434 x4

- DOS(E_F): 6.123 states/eV/cell
- Energy of formation: -0.56 eV/atom
- Calculated volume: 271 Å³/cell

---

[3]
Here is an optimized crystal structure of TaTl2F from the Alexandria database. Energies are from GGA-PBE.

Unit cell a=7.103 b=7.103 c=6.817 alpha=90.00 beta=90.00 gamma=90.00
Space group I-42d (No. 122)
Symmetry-distinct sites (fractional):
Ta 0.000 0.000 0.000 x4
Tl 0.207 0.750 0.625 x8
F 0.000 0.000 0.500 x4

- DOS(E_F): 9.774 states/eV/cell
- Calculated volume: 344 Å³/cell
- Formation energy from raw total energies: 213 meV/atom
- Polymorph energy (0 for the lowest one): 0.00 eV per formula unit

---

[4]
Here is an optimized crystal structure of CeSm2BiC from the Alexandria database. Energies are from GGA-PBE.

Unit cell a=5.081 b=5.081 c=4.942 alpha=90.00 beta=90.00 gamma=90.00
Space group P4/mmm (No. 123)
Symmetry-distinct sites (fractional):
Ce 0.000 0.000 0.000 x1
Sm 0.000 0.500 0.500 x2
Bi 0.500 0.500 0.000 x1
C 0.000 0.000 0.500 x1

- DOS(E_F): 6.789 states/eV/cell
- Energy of formation: -0.46 eV/atom
- Calculated volume: 128 Å³/cell

---

[5]
Here is an optimized crystal structure of NdPu2Ru9 from the Alexandria database. Energies are from GGA-PBE.

Unit cell a=5.2419 b=5.2419 c=26.4632 alpha=90.00 beta=90.00 gamma=120.00
Space group R-3m (No. 166, hexagonal axes)
Symmetry-distinct sites (fractional):
Nd 0.0000 0.0000 0.0000 x3
Pu 0.0000 0.0000 0.1409 x6
Ru 0.0000 0.0000 0.3361 x6
Ru 0.0000 0.0000 0.5000 x3
Ru 0.0052 0.5026 0.9171 x18

- DOS(E_F): 81.292 states/eV/cell
- Energy of formation: -0.01 eV/atom
- Calculated volume: 630 Å³/cell

---

[6]
Here is an optimized crystal structure of Li3Np2AgSe6 from the Alexandria database. Energies are from GGA-PBE.

Unit cell a=6.977 b=12.047 c=6.887 alpha=90.00 beta=109.88 gamma=90.00
Space group C2/m (No. 12)
Symmetry-distinct sites (fractional):
Li 0.000 0.000 0.000 x2
Li 0.000 0.338 0.000 x4
Np 0.000 0.167 0.500 x4
Ag 0.000 0.500 0.500 x2
Se 0.240 0.000 0.757 x4
Se 0.243 0.172 0.246 x8

- DOS(E_F): 28.329 states/eV/cell
- Calculated volume: 544 Å³/cell
- Formation energy from raw total energies: -1031 meV/atom